Entry 1:
! Y6Cd5Pt, optimized geometry, DFT PBE; values from VASP
&SYSTEM
  ibrav = 0, nat = 12, ntyp = 3
/
ATOMIC_SPECIES
Y 88.91 Y.upf
Cd 112.41 Cd.upf
Pt 195.08 Pt.upf
ATOMIC_POSITIONS angstrom
Y 5.0691 1.9744 1.6918
Y 8.2224 2.0362 0.0000
Y 9.7415 1.9744 3.2460
Y 5.0691 -1.9744 1.6918
Y 8.2224 -2.0362 0.0000
Y 9.7415 -1.9744 3.2460
Cd 2.7091 0.0000 0.9019
Cd 4.1172 0.0000 4.1167
Cd 7.4053 0.0000 2.4689
Cd 10.6934 0.0000 0.8211
Cd 12.1015 0.0000 4.0358
Pt -0.8171 0.0000 2.4689
CELL_PARAMETERS angstrom
8.2224 -3.7471 0.0000
8.2224 3.7471 0.0000
-1.6343 0.0000 4.9377
! Crystal system: monoclinic
! SG: No. 12
! Formation energy from the elements, eV/atom: -0.50
! Calculated total energy, eV per atom: -4.6177

***

Entry 2:
! CoPb2W, optimized geometry, DFT PBE; values from VASP
&SYSTEM
  ibrav = 0, nat = 4, ntyp = 3
/
ATOMIC_SPECIES
Co 58.93 Co.upf
Pb 207.20 Pb.upf
W 183.84 W.upf
ATOMIC_POSITIONS angstrom
Co 0.0000 0.0000 0.0000
Pb 1.7932 0.0000 1.9311
Pb 1.7932 0.0000 6.5522
W 0.0000 0.0000 4.2417
CELL_PARAMETERS angstrom
1.7932 -2.5513 0.0000
1.7932 2.5513 0.0000
0.0000 0.0000 8.4833
! Crystal system: orthorhombic
! SG: No. 65
! Polymorph energy (0 for the lowest one), meV/atom: 578
! Formation energy from the elements, eV/atom: 0.99
! Calculated total energy, eV per atom: -5.8765

***

Entry 3:
! TmP2Ir, optimized geometry, DFT PBE; values from VASP
&SYSTEM
  ibrav = 0, nat = 4, ntyp = 3
/
ATOMIC_SPECIES
Tm 168.93 Tm.upf
P 30.97 P.upf
Ir 192.22 Ir.upf
ATOMIC_POSITIONS angstrom
Tm 0.0000 0.0000 0.0000
P 0.0000 0.0000 3.7072
P 0.0000 0.0000 12.3386
Ir 0.0000 0.0000 8.0229
CELL_PARAMETERS angstrom
1.9227 1.1101 5.3486
-1.9227 1.1101 5.3486
0.0000 -2.2202 5.3486
! Crystal system: trigonal
! SG: No. 166
! Formation energy from the elements, eV/atom: -0.97
! Calculated total energy, eV per atom: -7.0049

***

Entry 4:
! CaZnHgSb, optimized geometry, DFT PBE; values from VASP
&SYSTEM
  ibrav = 0, nat = 4, ntyp = 4
/
ATOMIC_SPECIES
Ca 40.08 Ca.upf
Zn 65.41 Zn.upf
Hg 200.59 Hg.upf
Sb 121.76 Sb.upf
ATOMIC_POSITIONS angstrom
Ca 0.0000 0.0000 0.0000
Zn 3.7187 3.7187 3.7187
Hg 1.8593 1.8593 1.8593
Sb 5.5780 5.5780 5.5780
CELL_PARAMETERS angstrom
0.0000 3.7187 3.7187
3.7187 0.0000 3.7187
3.7187 3.7187 0.0000
! Formation energy from raw total energies, eV per formula unit: -1.16
! Crystal system: cubic
! SG: No. 216
! Calculated total energy, eV per atom: -2.2142

***

Entry 5:
! Pa3Ir2Os, optimized geometry, DFT PBE; values from VASP
&SYSTEM
  ibrav = 0, nat = 24, ntyp = 3
/
ATOMIC_SPECIES
Pa 231.04 Pa.upf
Ir 192.22 Ir.upf
Os 190.23 Os.upf
ATOMIC_POSITIONS angstrom
Pa 0.7528 1.1973 0.9085
Pa 0.0176 5.2510 4.5304
Pa 1.3373 9.2836 0.9355
Pa 0.6021 10.0611 4.5573
Pa 0.7029 0.9158 4.5929
Pa 1.4381 5.5324 0.9711
Pa 2.6891 7.3641 6.2726
Pa 3.4243 11.9807 2.6508
Pa 3.5251 2.8353 2.6864
Pa 2.7899 3.6129 6.3082
Pa 4.1096 7.6455 2.7133
Pa 3.3744 11.6992 6.3352
Ir -0.0081 3.2090 6.3531
Ir 0.7271 3.2393 2.7312
Ir 1.2731 7.6166 3.2108
Ir 0.5379 11.7281 6.8326
Ir 3.5893 1.1684 0.4111
Ir 2.8541 5.2799 4.0329
Ir 3.4002 9.6572 4.5125
Ir 4.1353 9.6875 0.8906
Os -0.1045 7.5669 6.0033
Os 0.6307 11.7778 2.3814
Os 3.4965 1.1187 4.8623
Os 4.2317 5.3296 1.2404
CELL_PARAMETERS angstrom
5.5976 0.0000 0.0000
0.0000 12.8965 0.0000
-1.4704 0.0000 7.2437
! Crystal system: monoclinic
! SG: No. 14
! Formation energy from the elements, eV/atom: -0.68
! Calculated total energy, eV per atom: -10.2565

***

Entry 6:
! Ce6CoSn2, optimized geometry, DFT PBE; values from VASP
&SYSTEM
  ibrav = 0, nat = 9, ntyp = 3
/
ATOMIC_SPECIES
Ce 140.12 Ce.upf
Co 58.93 Co.upf
Sn 118.71 Sn.upf
ATOMIC_POSITIONS angstrom
Ce 0.0000 0.0000 2.3958
Ce 1.9179 1.9179 0.0000
Ce 1.4774 -1.4774 5.0703
Ce -1.4774 1.4774 5.0703
Ce 1.4774 1.4774 5.0703
Ce 0.0000 0.0000 7.7448
Co 0.0000 0.0000 0.0000
Sn 3.3953 0.0000 2.5352
Sn 0.0000 3.3953 2.5352
CELL_PARAMETERS angstrom
-3.3953 3.3953 5.0703
3.3953 -3.3953 5.0703
3.3953 3.3953 -5.0703
! Crystal system: tetragonal
! SG: No. 139
! Formation energy from the elements, eV/atom: -0.41
! Calculated total energy, eV per atom: -6.0474

***

Entry 7:
! CrNi2Pb, optimized geometry, DFT PBE; values from VASP
&SYSTEM
  ibrav = 0, nat = 4, ntyp = 3
/
ATOMIC_SPECIES
Cr 52.00 Cr.upf
Ni 58.69 Ni.upf
Pb 207.20 Pb.upf
ATOMIC_POSITIONS angstrom
Cr 0.0000 0.0000 0.0000
Ni 1.6021 2.0317 0.6248
Ni 1.5982 0.0000 2.0429
Pb -0.0005 2.0317 2.8944
CELL_PARAMETERS angstrom
3.1997 0.0000 0.0000
0.0000 4.0635 0.0000
-1.5896 0.0000 4.8451
! Crystal system: monoclinic
! SG: No. 6
! Formation energy from the elements, eV/atom: 0.36
! Calculated total energy, eV per atom: -5.8623

***

Entry 8:
! TlCu, optimized geometry, DFT PBE; values from VASP
&SYSTEM
  ibrav = 0, nat = 2, ntyp = 2
/
ATOMIC_SPECIES
Tl 204.38 Tl.upf
Cu 63.55 Cu.upf
ATOMIC_POSITIONS angstrom
Tl 0.0000 0.0000 0.0000
Cu 2.7854 2.7854 2.7854
CELL_PARAMETERS angstrom
0.0000 2.7854 2.7854
2.7854 0.0000 2.7854
2.7854 2.7854 0.0000
! Crystal system: cubic
! SG: No. 225
! Formation energy from the elements, eV/atom: 0.38
! Calculated total energy, eV per atom: -2.8541